Here is an optimized crystal structure of NdSbOs from OQMD. Energies are from PBE-GGA.

Summary:
For the theoretical density, the calculation gives 10.150 Mg/m³. The calculation puts the total magnetization at 0.00 μB per cell. The total energy comes out at -20.4 eV for the cell shown. The symmetry is No. 216.

Geometry as POSCAR:
```
NdSbOs
1.0
0.000 3.342 3.342
3.342 0.000 3.342
3.342 3.342 0.000
Nd Os Sb
1 1 1
Direct
0.250 0.250 0.250
0.000 0.000 0.000
0.750 0.750 0.750
```